No. 1
First-principles (PBEsol) data for an optimized crystal structure of KIn2Hg, as listed in Alexandria via LeMat-Bulk.

a = 4.6089 Å, b = 4.6089 Å, c = 5.1448 Å
α = 90.00°, β = 90.00°, γ = 90.00°
Last column: nearest neighbours and their distance in Å.
Space group P4/mmm (No. 123)
Unique sites:
K: 0.0000 0.0000 0.0000 x1  4 Hg 3.26, 8 In 3.45
In: 0.0000 0.5000 0.5000 x2  4 In 3.26, 4 Hg 3.45, 4 K 3.45
Hg: 0.5000 0.5000 0.0000 x1  4 K 3.26, 8 In 3.45

Uncorrected energy   -7.8 eV/cell
Crystal system   tetragonal

=====

No. 2
First-principles (PBEsol) data for an optimized crystal structure of KInHg2, as listed in Alexandria via LeMat-Bulk.

a = 3.7818 Å, b = 3.7818 Å, c = 7.7511 Å
α = 90.00°, β = 90.00°, γ = 90.00°
Last column: nearest neighbours and their distance in Å.
Space group P4/mmm (No. 123)
Unique sites:
K: 0.0000 0.0000 0.0000 x1  8 Hg 3.48, 4 K 3.78, 2 In 3.88
In: 0.0000 0.0000 0.5000 x1  8 Hg 3.14
Hg: 0.5000 0.5000 0.2882 x2  4 In 3.14, 1 Hg 3.28, 4 K 3.48

Uncorrected energy   -5.9 eV/cell
Crystal system   tetragonal

=====

No. 3
First-principles (PBEsol) data for an optimized crystal structure of KInHg2, as listed in Alexandria via LeMat-Bulk.

a = 3.3736 Å, b = 4.2452 Å, c = 7.7788 Å
α = 90.00°, β = 90.00°, γ = 90.00°
Last column: nearest neighbours and their distance in Å.
Space group Pmm2 (No. 25)
Unique sites:
K: 0.0000 0.0000 0.0000 x1  2 K 3.37, 4 Hg 3.45, 4 In 3.68
In: 0.5000 0.5000 0.6796 x1  5 Hg 3.08-3.15, 2 In 3.37
Hg: 0.0000 0.0000 0.4925 x1  4 In 3.08, 6 Hg 3.20-3.37
Hg: 0.5000 0.5000 0.2745 x1  1 In 3.15, 6 Hg 3.20-3.37, 4 K 3.45

Uncorrected energy   -5.7 eV/cell
Crystal system   orthorhombic

=====

No. 4
First-principles (PBEsol) data for an optimized crystal structure of KInHg2, as listed in Alexandria via LeMat-Bulk.

a = 3.3368 Å, b = 4.9201 Å, c = 6.7437 Å
α = 90.00°, β = 103.15°, γ = 90.00°
Last column: nearest neighbours and their distance in Å.
Space group Pm (No. 6)
Unique sites:
K: 0.0000 0.0000 0.0000 x1  7 Hg 3.33-3.68, 2 K 3.34, 4 In 3.64-3.70
In: 0.3313 0.5000 0.6729 x1  6 Hg 3.13-3.37, 2 In 3.34
Hg: 0.6095 0.5000 0.2325 x1  4 Hg 3.00-3.34, 1 In 3.31, 4 K 3.34-3.35
Hg: 0.7075 0.0000 0.4935 x1  4 Hg 3.00-3.34, 4 In 3.13-3.27, 1 K 3.33

Uncorrected energy   -5.7 eV/cell
Crystal system   monoclinic